{"formula": "Ac2AlIr", "functional": "PBE", "state": "relaxed", "vol_a3_per_fu": 121.6, "final_energy_ev_per_cell": -18.7, "e_form_ev_per_atom": 0.539, "lattice": [[-0.365, -2.704, -2.379], [2.544, -0.555, -2.514], [5.900, -7.672, 5.059]], "species": ["Ac", "Ac", "Ir", "Al"], "fractional_positions": [[0.085, 0.085, 0.745], [0.915, 0.915, 0.255], [0.000, 0.000, 0.000], [0.500, 0.500, 0.500]]}


{"formula": "ZnInAs3", "functional": "PBE", "state": "relaxed", "de_polymorph_mev_per_atom": 0, "vol_a3_per_fu": 119.2, "final_energy_ev_per_cell": -15.0, "e_form_ev_per_atom": 0.586, "lattice": [[4.921, 0.000, 0.000], [0.000, 4.921, 0.000], [0.000, 0.000, 4.921]], "species": ["As", "As", "As", "Zn", "In"], "fractional_positions": [[0.000, 0.500, 0.000], [0.000, 0.000, 0.500], [0.500, 0.000, 0.000], [0.000, 0.000, 0.000], [0.500, 0.500, 0.500]]}


{"formula": "MgTi2NbI", "functional": "PBE", "state": "relaxed", "e_form_raw_kj_per_mol_atoms": 86, "vol_a3_per_fu": 130.5, "final_energy_ev_per_cell": -24.6, "lattice": [[4.856, 0.000, 0.000], [0.000, 5.536, 0.000], [0.000, 0.000, 4.856]], "species": ["I", "Nb", "Mg", "Ti", "Ti"], "fractional_positions": [[0.000, 0.500, 0.000], [0.000, 0.000, 0.000], [0.500, 0.500, 0.500], [0.000, 0.000, 0.500], [0.500, 0.000, 0.000]]}


{"formula": "Mg2TiAg", "functional": "PBE", "state": "relaxed", "de_polymorph_mev_per_atom": 144, "vol_a3_per_fu": 74.8, "final_energy_ev_per_cell": -13.4, "e_form_ev_per_atom": 0.135, "lattice": [[2.138, -0.303, 4.207], [-2.584, -0.213, 3.955], [-0.209, -4.025, 2.474]], "species": ["Mg", "Mg", "Ag", "Ti"], "fractional_positions": [[0.250, 0.250, 0.250], [0.750, 0.750, 0.750], [0.500, 0.500, 0.500], [0.000, 0.000, 0.000]]}


{"formula": "KRhSe2", "functional": "PBE", "state": "relaxed", "e_form_raw_kj_per_mol_atoms": -57, "vol_a3_per_fu": 110.9, "final_energy_ev_per_cell": -71.1, "lattice": [[6.483, 0.000, 0.000], [0.000, 3.790, 0.000], [0.000, 0.000, 18.062]], "species": ["K", "K", "K", "K", "Rh", "Rh", "Rh", "Rh", "Se", "Se", "Se", "Se", "Se", "Se", "Se", "Se"], "fractional_positions": [[0.145, 0.250, 0.659], [0.355, 0.750, 0.159], [0.855, 0.750, 0.341], [0.645, 0.250, 0.841], [0.342, 0.250, 0.432], [0.158, 0.750, 0.932], [0.658, 0.750, 0.568], [0.842, 0.250, 0.068], [0.703, 0.250, 0.480], [0.797, 0.750, 0.980], [0.297, 0.750, 0.520], [0.203, 0.250, 0.020], [0.644, 0.250, 0.657], [0.856, 0.750, 0.157], [0.356, 0.750, 0.343], [0.144, 0.250, 0.843]]}


{"formula": "Fe2TeP", "functional": "PBE", "state": "relaxed", "e_form_raw_kj_per_mol_atoms": 25, "de_polymorph_mev_per_atom": 347, "vol_a3_per_fu": 64.4, "final_energy_ev_per_cell": -24.5, "lattice": [[-0.893, -0.514, 4.512], [4.487, -0.598, 0.961], [-2.458, 3.535, -1.698]], "species": ["Fe", "Fe", "P", "Te"], "fractional_positions": [[0.936, 0.936, 0.000], [0.564, 0.564, 0.000], [0.750, 0.250, 0.500], [0.250, 0.750, 0.500]]}


{"formula": "Sm2CuAs4Rh3", "functional": "PBE", "state": "relaxed", "vol_a3_per_fu": 183.8, "final_energy_ev_per_cell": -62.4, "e_form_ev_per_atom": -0.825, "lattice": [[-4.187, -0.116, -0.927], [0.018, -4.266, 0.450], [-2.174, 1.014, 9.694]], "species": ["Sm", "Sm", "Cu", "As", "As", "As", "As", "Rh", "Rh", "Rh"], "fractional_positions": [[0.500, 0.000, 0.250], [0.000, 0.500, 0.750], [0.500, 0.500, 0.500], [0.500, 0.500, 0.000], [0.000, 0.000, 0.000], [0.500, 0.000, 0.635], [0.000, 0.500, 0.365], [0.000, 0.000, 0.500], [0.500, 0.000, 0.878], [0.000, 0.500, 0.122]]}


{"formula": "HfPa4", "functional": "PBE", "state": "relaxed", "de_polymorph_mev_per_atom": 1274, "vol_a3_per_fu": 151.6, "final_energy_ev_per_cell": -41.4, "e_form_ev_per_atom": 1.307, "lattice": [[-3.817, -2.022, -3.127], [0.533, -4.728, 2.407], [-3.686, 1.410, 3.587]], "species": ["Pa", "Pa", "Pa", "Pa", "Hf"], "fractional_positions": [[0.000, 0.000, 0.000], [0.500, 0.000, 0.500], [0.000, 0.500, 0.500], [0.500, 0.500, 0.000], [0.500, 0.500, 0.500]]}


{"formula": "Pu2Zn16Ge", "functional": "PBE", "state": "relaxed", "vol_a3_per_fu": 312.7, "final_energy_ev_per_cell": -56.3, "e_form_ev_per_atom": -0.138, "lattice": [[6.785, 0.006, 0.772], [0.689, 6.750, 0.772], [0.007, 0.006, 6.829]], "species": ["Pu", "Pu", "Zn", "Zn", "Zn", "Zn", "Zn", "Zn", "Zn", "Zn", "Zn", "Zn", "Zn", "Zn", "Zn", "Zn", "Zn", "Zn", "Ge"], "fractional_positions": [[0.669, 0.669, 0.669], [0.333, 0.333, 0.333], [0.695, 0.000, 0.306], [0.000, 0.306, 0.695], [0.306, 0.695, 0.000], [0.000, 0.695, 0.306], [0.695, 0.306, 0.000], [0.306, 0.000, 0.695], [0.350, 0.836, 0.350], [0.836, 0.350, 0.350], [0.350, 0.350, 0.836], [0.647, 0.171, 0.647], [0.171, 0.647, 0.647], [0.647, 0.647, 0.171], [0.006, 0.491, 0.006], [0.491, 0.006, 0.006], [0.006, 0.006, 0.491], [0.095, 0.095, 0.095], [0.897, 0.897, 0.897]]}


{"formula": "K2LaCd2", "functional": "PBE", "state": "relaxed", "vol_a3_per_fu": 202.4, "final_energy_ev_per_cell": -16.9, "e_form_ev_per_atom": 0.100, "lattice": [[8.267, 0.000, 0.000], [0.000, 8.267, 0.000], [0.000, 0.000, 5.923]], "species": ["K", "K", "K", "K", "Cd", "Cd", "Cd", "Cd", "La", "La"], "fractional_positions": [[0.172, 0.672, 0.500], [0.672, 0.828, 0.500], [0.828, 0.328, 0.500], [0.328, 0.172, 0.500], [0.377, 0.877, 0.000], [0.877, 0.623, 0.000], [0.623, 0.123, 0.000], [0.123, 0.377, 0.000], [0.000, 0.000, 0.000], [0.500, 0.500, 0.000]]}


{"formula": "ScTc4Au", "functional": "PBE", "state": "relaxed", "vol_a3_per_fu": 99.4, "final_energy_ev_per_cell": -50.7, "e_form_ev_per_atom": 0.063, "lattice": [[-4.147, -3.001, 0.912], [-1.242, -1.305, 4.878], [-4.235, 2.027, 2.235]], "species": ["Sc", "Tc", "Tc", "Tc", "Tc", "Au"], "fractional_positions": [[0.000, 0.000, 0.000], [0.873, 0.376, 0.376], [0.376, 0.376, 0.873], [0.376, 0.873, 0.376], [0.376, 0.376, 0.376], [0.750, 0.750, 0.750]]}


{"formula": "CoPb", "functional": "PBE", "state": "relaxed", "vol_a3_per_fu": 42.9, "final_energy_ev_per_cell": -80.6, "e_form_ev_per_atom": 0.372, "lattice": [[-3.196, -5.559, 7.608], [-5.063, -5.763, -6.337], [2.768, -2.057, -0.341]], "species": ["Co", "Co", "Co", "Co", "Co", "Co", "Co", "Co", "Pb", "Pb", "Pb", "Pb", "Pb", "Pb", "Pb", "Pb"], "fractional_positions": [[0.407, 0.077, 0.000], [0.593, 0.923, 0.000], [0.923, 0.407, 0.000], [0.077, 0.593, 0.000], [0.907, 0.577, 0.500], [0.093, 0.423, 0.500], [0.423, 0.907, 0.500], [0.577, 0.093, 0.500], [0.202, 0.886, 0.000], [0.798, 0.114, 0.000], [0.114, 0.202, 0.000], [0.886, 0.798, 0.000], [0.702, 0.386, 0.500], [0.298, 0.614, 0.500], [0.614, 0.702, 0.500], [0.386, 0.298, 0.500]]}


{"formula": "AlSbIO2", "functional": "PBE", "state": "relaxed", "e_form_raw_kj_per_mol_atoms": -43, "de_polymorph_mev_per_atom": 0, "vol_a3_per_fu": 87.6, "final_energy_ev_per_cell": -21.6, "lattice": [[4.075, 0.000, 0.000], [0.000, 4.075, 0.000], [0.000, 0.000, 5.275]], "species": ["I", "Sb", "Al", "O", "O"], "fractional_positions": [[0.000, 0.000, 0.500], [0.500, 0.500, 0.500], [0.000, 0.000, 0.000], [0.000, 0.500, 0.000], [0.500, 0.000, 0.000]]}


{"formula": "Sb2AsBr", "functional": "PBE", "state": "relaxed", "e_form_raw_kj_per_mol_atoms": -3, "de_polymorph_mev_per_atom": 25, "vol_a3_per_fu": 121.2, "final_energy_ev_per_cell": -14.7, "lattice": [[-4.425, -6.330, 1.042], [-0.258, -5.940, 5.039], [0.596, 7.660, -1.308]], "species": ["Sb", "Sb", "As", "Br"], "fractional_positions": [[0.011, 0.011, 0.000], [0.674, 0.174, 0.500], [0.534, 0.534, 0.000], [0.281, 0.781, 0.500]]}


{"formula": "LiMgV", "functional": "PBE", "state": "relaxed", "de_polymorph_mev_per_atom": 64, "vol_a3_per_fu": 52.0, "final_energy_ev_per_cell": -47.1, "e_form_ev_per_atom": 0.283, "lattice": [[-0.103, -7.085, -0.547], [2.782, -0.129, 1.148], [-3.721, -0.637, 8.943]], "species": ["Mg", "Mg", "Mg", "Mg", "V", "V", "V", "V", "Li", "Li", "Li", "Li"], "fractional_positions": [[0.855, 0.250, 0.737], [0.645, 0.750, 0.237], [0.145, 0.750, 0.263], [0.355, 0.250, 0.763], [0.420, 0.250, 0.436], [0.080, 0.750, 0.936], [0.580, 0.750, 0.564], [0.920, 0.250, 0.064], [0.868, 0.250, 0.424], [0.632, 0.750, 0.924], [0.132, 0.750, 0.576], [0.368, 0.250, 0.076]]}


{"formula": "Dy2LuCl", "functional": "PBE", "state": "relaxed", "e_form_raw_kj_per_mol_atoms": -62, "vol_a3_per_fu": 109.5, "final_energy_ev_per_cell": -18.1, "lattice": [[-0.790, -2.103, 2.780], [-2.775, -2.245, -0.189], [4.749, -8.483, -2.770]], "species": ["Cl", "Lu", "Dy", "Dy"], "fractional_positions": [[0.000, 0.000, 0.000], [0.500, 0.500, 0.500], [0.740, 0.740, 0.779], [0.260, 0.260, 0.221]]}


{"formula": "Ca2ZnPd", "functional": "PBE", "state": "relaxed", "vol_a3_per_fu": 101.0, "final_energy_ev_per_cell": -25.1, "e_form_ev_per_atom": -0.523, "lattice": [[4.331, 0.000, 0.000], [0.000, 5.911, -0.058], [0.000, -3.025, 7.922]], "species": ["Ca", "Ca", "Ca", "Ca", "Zn", "Zn", "Pd", "Pd"], "fractional_positions": [[0.750, 0.222, 0.425], [0.250, 0.778, 0.575], [0.250, 0.792, 0.068], [0.750, 0.208, 0.932], [0.750, 0.634, 0.281], [0.250, 0.366, 0.719], [0.250, 0.374, 0.218], [0.750, 0.626, 0.782]]}


{"formula": "SmPu2Hg3", "functional": "PBE", "state": "relaxed", "de_polymorph_mev_per_atom": 18, "vol_a3_per_fu": 155.0, "final_energy_ev_per_cell": -35.5, "e_form_ev_per_atom": -0.205, "lattice": [[-2.354, -1.024, -2.185], [2.313, -1.827, -1.636], [-2.779, -10.689, 8.004]], "species": ["Sm", "Pu", "Pu", "Hg", "Hg", "Hg"], "fractional_positions": [[0.500, 0.500, 0.500], [0.500, 0.500, 0.832], [0.500, 0.500, 0.168], [0.000, 0.000, 0.000], [0.000, 0.000, 0.665], [0.000, 0.000, 0.335]]}


{"formula": "La2YIn3", "functional": "PBE", "state": "relaxed", "de_polymorph_mev_per_atom": 0, "vol_a3_per_fu": 176.7, "final_energy_ev_per_cell": -27.6, "e_form_ev_per_atom": -0.516, "lattice": [[-0.712, 1.759, 3.350], [-1.982, -3.077, 1.194], [9.976, -4.655, 4.564]], "species": ["La", "La", "Y", "In", "In", "In"], "fractional_positions": [[0.500, 0.500, 0.827], [0.500, 0.500, 0.173], [0.500, 0.500, 0.500], [0.000, 0.000, 0.000], [0.000, 0.000, 0.650], [0.000, 0.000, 0.350]]}


{"formula": "Pu3Ga3Rh2", "functional": "PBE", "state": "relaxed", "vol_a3_per_fu": 156.4, "final_energy_ev_per_cell": -70.4, "e_form_ev_per_atom": -0.456, "lattice": [[-1.173, 2.101, 3.574], [-3.257, -3.055, 0.726], [7.311, -3.984, 2.149]], "species": ["Pu", "Pu", "Pu", "Ga", "Ga", "Ga", "Rh", "Rh"], "fractional_positions": [[0.134, 0.634, 0.268], [0.866, 0.366, 0.732], [0.000, 0.000, 0.000], [0.651, 0.151, 0.302], [0.500, 0.500, 0.000], [0.349, 0.849, 0.698], [0.243, 0.243, 0.486], [0.757, 0.757, 0.514]]}


{"formula": "BaMgI2O8", "functional": "PBE", "state": "relaxed", "e_form_raw_kj_per_mol_atoms": -102, "vol_a3_per_fu": 187.1, "final_energy_ev_per_cell": -59.0, "lattice": [[-4.691, -0.123, 2.722], [-4.548, -1.577, -2.502], [-1.754, -7.515, 2.043]], "species": ["Ba", "Mg", "I", "I", "O", "O", "O", "O", "O", "O", "O", "O"], "fractional_positions": [[0.500, 0.500, 0.500], [0.000, 0.000, 0.000], [0.272, 0.272, 0.185], [0.728, 0.728, 0.815], [0.189, 0.189, 0.432], [0.635, 0.264, 0.169], [0.811, 0.811, 0.568], [0.933, 0.635, 0.169], [0.067, 0.365, 0.831], [0.264, 0.933, 0.169], [0.736, 0.067, 0.831], [0.365, 0.736, 0.831]]}


{"formula": "EuGdBiBr", "functional": "PBE", "state": "relaxed", "e_form_raw_kj_per_mol_atoms": -99, "vol_a3_per_fu": 118.9, "final_energy_ev_per_cell": -34.0, "lattice": [[5.520, 0.000, 0.000], [2.760, 4.780, 0.000], [2.760, 1.593, 4.507]], "species": ["Eu", "Gd", "Bi", "Br"], "fractional_positions": [[0.000, 0.000, 0.000], [0.500, 0.500, 0.500], [0.250, 0.250, 0.250], [0.750, 0.750, 0.750]]}


{"formula": "BaCdBr2", "functional": "PBE", "state": "relaxed", "e_form_raw_kj_per_mol_atoms": -127, "de_polymorph_mev_per_atom": 118, "vol_a3_per_fu": 183.0, "final_energy_ev_per_cell": -22.9, "lattice": [[9.461, 0.000, 0.000], [0.000, 9.461, 0.000], [4.730, 4.730, 4.089]], "species": ["Ba", "Ba", "Br", "Br", "Br", "Br", "Cd", "Cd"], "fractional_positions": [[0.000, 0.000, 0.000], [0.750, 0.250, 0.500], [0.683, 0.125, 0.250], [0.067, 0.625, 0.250], [0.375, 0.317, 0.750], [0.875, 0.933, 0.750], [0.500, 0.500, 0.000], [0.250, 0.750, 0.500]]}


{"formula": "Er4Mg3Au", "functional": "PBE", "state": "relaxed", "vol_a3_per_fu": 203.6, "final_energy_ev_per_cell": -28.5, "e_form_ev_per_atom": -0.272, "lattice": [[3.701, 0.000, 0.000], [0.000, 3.701, 0.000], [0.000, 0.000, 14.868]], "species": ["Mg", "Mg", "Mg", "Au", "Er", "Er", "Er", "Er"], "fractional_positions": [[0.500, 0.500, 0.245], [0.500, 0.500, 0.500], [0.500, 0.500, 0.755], [0.500, 0.500, 0.000], [0.000, 0.000, 0.887], [0.000, 0.000, 0.113], [0.000, 0.000, 0.370], [0.000, 0.000, 0.630]]}